Computed, not measured: crystalline TmAl at its relaxed geometry at the PBE level of DFT.

Calculated values
The calculation puts the total magnetic moment at 0.00 μB/cell. The value obtained for the formation energy is -40 kJ/mol of atoms. The total energy comes out at -72.31 eV per cell.

abc: 5.7939 11.2976 5.5460
angles: 90.00 90.00 90.00
With the nearest neighbours (Å) after each atom.
Space group Pbcm (No. 57)
Asymmetric unit:
Tm: 0.1024 0.1690 0.2500 (multiplicity 4)  6 Al 3.02-3.26, 3 Tm 3.32
Tm: 0.3401 0.0174 0.7500 (multiplicity 4)  8 Al 3.02-3.37, 3 Tm 3.32-3.36
Al: 0.1579 0.5965 0.7500 (multiplicity 4)  2 Al 2.72, 4 Tm 3.02-3.05
Al: 0.4302 0.7500 0.0000 (multiplicity 4)  4 Al 2.72-2.77